! AlPt4Rh, optimized geometry, DFT PBE; values from VASP
&SYSTEM
  ibrav = 0, nat = 6, ntyp = 3
/
ATOMIC_SPECIES
Al 26.98 Al.upf
Pt 195.08 Pt.upf
Rh 102.91 Rh.upf
CELL_PARAMETERS angstrom
0.000 3.683 3.683
3.683 0.000 3.683
3.683 3.683 0.000
ATOMIC_POSITIONS angstrom
Al 0.000 0.000 0.000
Pt 4.602 2.764 2.764
Pt 2.764 4.602 2.764
Pt 2.764 2.764 4.602
Pt 4.602 4.602 4.602
Rh 1.842 1.842 1.842
! DOS(E_F)   4.8 states/eV/f.u.
! ΔE_f   0.046 eV per atom

! BeCd2As, optimized geometry, DFT PBE; values from VASP
&SYSTEM
  ibrav = 0, nat = 8, ntyp = 3
/
ATOMIC_SPECIES
Be 9.01 Be.upf
Cd 112.41 Cd.upf
As 74.92 As.upf
CELL_PARAMETERS angstrom
3.743 0.000 0.000
0.000 4.782 0.000
0.000 0.000 8.829
ATOMIC_POSITIONS angstrom
Be 0.000 0.000 0.000
Be 1.872 2.391 0.000
Cd 0.000 0.000 4.621
Cd 0.000 2.391 1.962
Cd 1.872 0.000 1.962
Cd 1.872 2.391 4.621
As 0.000 2.391 7.560
As 1.872 0.000 7.560
! DOS(E_F)   1.8 states/eV/f.u.
! ΔE_f   0.268 eV per atom
! Excess energy over the best structure of this formula in the dataset   126 meV per atom

! Nb2SiSb, optimized geometry, DFT PBE; values from VASP
&SYSTEM
  ibrav = 0, nat = 16, ntyp = 3
/
ATOMIC_SPECIES
Nb 92.91 Nb.upf
Si 28.09 Si.upf
Sb 121.76 Sb.upf
CELL_PARAMETERS angstrom
6.599 0.000 0.000
0.000 6.599 0.000
0.000 0.000 6.599
ATOMIC_POSITIONS angstrom
Nb 1.650 1.650 1.650
Nb 1.650 1.650 4.949
Nb 1.650 4.949 1.650
Nb 1.650 4.949 4.949
Nb 4.949 1.650 1.650
Nb 4.949 1.650 4.949
Nb 4.949 4.949 1.650
Nb 4.949 4.949 4.949
Si 0.000 0.000 0.000
Si 0.000 3.299 3.299
Si 3.299 0.000 3.299
Si 3.299 3.299 0.000
Sb 0.000 0.000 3.299
Sb 0.000 3.299 0.000
Sb 3.299 0.000 0.000
Sb 3.299 3.299 3.299
! DOS(E_F)   3.0 states/eV/f.u.
! Excess energy over the best structure of this formula in the dataset   0 meV per atom
! Uncorrected formation energy   -0.065 eV per atom

! TbDy4Y2Tm2, optimized geometry, DFT PBE; values from VASP
&SYSTEM
  ibrav = 0, nat = 9, ntyp = 4
/
ATOMIC_SPECIES
Tb 158.93 Tb.upf
Dy 162.50 Dy.upf
Y 88.91 Y.upf
Tm 168.93 Tm.upf
CELL_PARAMETERS angstrom
9.277 -1.786 0.000
9.277 1.786 0.000
-4.122 0.000 8.541
ATOMIC_POSITIONS angstrom
Tb 0.000 0.000 0.000
Dy 2.055 0.000 2.851
Dy 6.186 0.000 5.702
Dy 8.246 0.000 2.839
Dy 12.377 0.000 5.691
Y -0.007 0.000 5.698
Y 14.439 0.000 2.843
Tm 2.058 0.000 8.527
Tm 12.374 0.000 0.014
! DOS(E_F)   12.4 states/eV/f.u.
! ΔE_f   0.004 eV per atom

! CuPbI2O8, optimized geometry, DFT PBE; values from VASP
&SYSTEM
  ibrav = 0, nat = 12, ntyp = 4
/
ATOMIC_SPECIES
Cu 63.55 Cu.upf
Pb 207.20 Pb.upf
I 126.90 I.upf
O 16.00 O.upf
CELL_PARAMETERS angstrom
2.619 1.512 7.628
-2.619 1.512 7.628
0.000 -3.024 7.628
ATOMIC_POSITIONS angstrom
Cu 0.000 0.000 0.000
Pb 0.000 0.000 11.443
I 0.000 0.000 5.947
I 0.000 0.000 16.938
O -0.760 -1.554 9.029
O 0.000 0.000 4.121
O -0.966 -1.435 13.856
O -0.966 1.435 9.029
O -0.760 1.554 13.856
O 1.726 0.119 9.029
O 0.000 0.000 18.764
O 1.726 -0.119 13.856
! DOS(E_F)   4.3 states/eV/f.u.
! Uncorrected formation energy   -0.170 eV per atom

! BH4Pb, optimized geometry, DFT PBE; values from VASP
&SYSTEM
  ibrav = 0, nat = 12, ntyp = 3
/
ATOMIC_SPECIES
B 10.81 B.upf
H 1.01 H.upf
Pb 207.20 Pb.upf
CELL_PARAMETERS angstrom
2.372 -2.491 0.000
2.372 2.491 0.000
-0.198 0.000 10.500
ATOMIC_POSITIONS angstrom
B 0.000 0.000 0.000
B -0.099 0.000 5.250
H 2.271 1.246 5.399
H 2.176 1.246 10.351
H 1.161 0.002 5.262
H 1.260 -0.002 0.012
H 3.286 0.002 10.488
H 3.385 -0.002 5.238
H 2.370 -1.246 0.149
H 2.275 -1.246 5.101
Pb 2.322 1.965 2.625
Pb 2.224 -1.965 7.875
! DOS(E_F)   0.8 states/eV/f.u.
! Energy   -3.55 eV/atom

! GdYSc2, optimized geometry, DFT PBE; values from VASP
&SYSTEM
  ibrav = 0, nat = 4, ntyp = 3
/
ATOMIC_SPECIES
Gd 157.25 Gd.upf
Y 88.91 Y.upf
Sc 44.96 Sc.upf
CELL_PARAMETERS angstrom
4.913 0.000 0.000
0.000 4.913 0.000
0.000 0.000 4.664
ATOMIC_POSITIONS angstrom
Gd 0.000 0.000 0.000
Y 2.457 2.457 0.000
Sc 0.000 2.457 2.332
Sc 2.457 0.000 2.332
! DOS(E_F)   7.6 states/eV/f.u.
! ΔE_f   0.057 eV per atom
! Excess energy over the best structure of this formula in the dataset   0 meV per atom

! LaBe2P, optimized geometry, DFT PBE; values from VASP
&SYSTEM
  ibrav = 0, nat = 4, ntyp = 3
/
ATOMIC_SPECIES
La 138.91 La.upf
Be 9.01 Be.upf
P 30.97 P.upf
CELL_PARAMETERS angstrom
3.055 0.000 0.000
0.000 3.398 0.000
0.000 0.000 6.340
ATOMIC_POSITIONS angstrom
La 0.000 0.000 0.000
Be 0.000 0.000 3.106
Be 1.528 1.699 4.162
P 1.528 1.699 2.081
! DOS(E_F)   2.3 states/eV/f.u.
! ΔE_f   0.000 eV per atom

! BaCa2As2, optimized geometry, DFT PBE; values from VASP
&SYSTEM
  ibrav = 0, nat = 5, ntyp = 3
/
ATOMIC_SPECIES
Ba 137.33 Ba.upf
Ca 40.08 Ca.upf
As 74.92 As.upf
CELL_PARAMETERS angstrom
4.898 0.000 0.000
-2.449 4.242 0.000
0.000 0.000 8.045
ATOMIC_POSITIONS angstrom
Ba 0.000 0.000 0.000
Ca 0.000 2.828 5.129
Ca 2.449 1.414 2.916
As 0.000 2.828 2.061
As 2.449 1.414 5.983
! DOS(E_F)   0.0 states/eV/f.u.
! ΔE_f   -1.183 eV per atom
! Excess energy over the best structure of this formula in the dataset   0 meV per atom

! Ti2ZnNi4, optimized geometry, DFT PBE; values from VASP
&SYSTEM
  ibrav = 0, nat = 14, ntyp = 3
/
ATOMIC_SPECIES
Ti 47.87 Ti.upf
Zn 65.41 Zn.upf
Ni 58.69 Ni.upf
CELL_PARAMETERS angstrom
5.475 0.000 0.000
-2.023 5.874 0.000
-2.309 -2.065 5.723
ATOMIC_POSITIONS angstrom
Ti 0.000 0.000 0.000
Ti -0.621 -0.388 2.902
Ti -0.838 2.987 3.406
Ti 2.769 1.060 0.162
Zn 0.011 4.951 1.775
Zn 0.974 1.328 4.445
Ni -1.124 2.749 0.946
Ni -2.355 2.513 5.135
Ni -1.391 0.350 5.132
Ni 0.787 1.503 1.835
Ni 2.089 4.044 0.813
Ni 2.158 -0.686 4.092
Ni 1.796 3.367 3.231
Ni 3.028 1.266 2.776
! DOS(E_F)   5.2 states/eV/f.u.
! ΔE_f   -0.222 eV per atom
! Excess energy over the best structure of this formula in the dataset   0 meV per atom

! Cs2ReBr6F, optimized geometry, DFT PBE; values from VASP
&SYSTEM
  ibrav = 0, nat = 10, ntyp = 4
/
ATOMIC_SPECIES
Cs 132.91 Cs.upf
Re 186.21 Re.upf
Br 79.90 Br.upf
F 19.00 F.upf
CELL_PARAMETERS angstrom
-3.882 3.882 5.544
3.882 -3.882 5.544
3.882 3.882 -5.544
ATOMIC_POSITIONS angstrom
Cs 3.882 0.000 2.772
Cs 0.000 3.882 2.772
Re 0.000 0.000 0.000
Br 0.000 0.000 2.524
Br 1.784 1.784 0.000
Br 2.098 -2.098 5.544
Br -2.098 2.098 5.544
Br 2.098 2.098 5.544
Br 0.000 0.000 8.563
F 0.000 0.000 5.544
! DOS(E_F)   19.9 states/eV/f.u.
! Uncorrected formation energy   -0.951 eV per atom

! BeAlV2Bi, optimized geometry, DFT PBE; values from VASP
&SYSTEM
  ibrav = 0, nat = 5, ntyp = 4
/
ATOMIC_SPECIES
Be 9.01 Be.upf
Al 26.98 Al.upf
V 50.94 V.upf
Bi 208.98 Bi.upf
CELL_PARAMETERS angstrom
5.187 0.000 0.000
0.000 5.187 0.000
0.000 0.000 4.454
ATOMIC_POSITIONS angstrom
Be 0.000 0.000 0.000
Al 2.593 2.593 0.000
V 0.000 2.593 2.227
V 2.593 0.000 2.227
Bi 0.000 0.000 2.227
! DOS(E_F)   5.0 states/eV/f.u.
! ΔE_f   1.515 eV per atom